1.
A relaxed structure of CaY2Ni, computed with PBE.

## Properties
- Magnetic moment: 0.00 μB per atom
- Symmetry: R3m, No. 160
- Energy relative to the elements: -113 meV/atom
- Energy above the most stable polymorph in this dataset: 25 meV per atom

a b c (Å): 9.528 9.528 9.528
angles (deg): 23.99 23.99 23.99
Positions (direct):
Ca: 0.000 0.000 0.000
Y: 0.551 0.551 0.551
Y: 0.780 0.780 0.780
Ni: 0.165 0.165 0.165

***

2.
A relaxed structure of K3P2HO6F2, computed with PBE.

## Properties
- Magnetic moment: 0.00 μB per atom
- Total DFT energy (no corrections): -165.52 eV/cell
- Symmetry: Cc, No. 9

a b c (Å): 7.107 7.107 9.710
angles (deg): 102.93 102.93 111.67
Positions (direct):
K: 0.054 0.317 0.379
K: 0.131 0.869 0.500
K: 0.317 0.054 0.879
K: 0.453 0.733 0.190
K: 0.733 0.453 0.690
K: 0.869 0.131 0.000
P: 0.267 0.500 0.758
P: 0.500 0.267 0.258
P: 0.685 0.918 0.621
P: 0.918 0.685 0.121
H: 0.592 0.593 0.939
H: 0.593 0.592 0.439
O: 0.038 0.584 0.203
O: 0.148 0.602 0.676
O: 0.293 0.315 0.666
O: 0.315 0.293 0.166
O: 0.478 0.669 0.888
O: 0.516 0.707 0.491
O: 0.584 0.038 0.703
O: 0.602 0.148 0.176
O: 0.669 0.478 0.388
O: 0.707 0.516 0.991
O: 0.870 0.892 0.713
O: 0.892 0.870 0.213
F: 0.067 0.790 0.025
F: 0.118 0.395 0.854
F: 0.395 0.118 0.354
F: 0.790 0.067 0.525

***

3.
A relaxed structure of Y2Si2PtRh5, computed with PBE.

## Properties
- Formation energy from raw total energies: -0.84 eV/atom
- Magnetic moment: 0.00 μB per atom
- Symmetry: P4/mbm, No. 127

a b c (Å): 9.660 9.660 3.535
angles (deg): 90.00 90.00 90.00
Positions (direct):
Y: 0.176 0.324 0.000
Y: 0.324 0.824 0.000
Y: 0.676 0.176 0.000
Y: 0.824 0.676 0.000
Si: 0.124 0.624 0.000
Si: 0.376 0.124 0.000
Si: 0.624 0.876 0.000
Si: 0.876 0.376 0.000
Pt: 0.000 0.000 0.000
Pt: 0.500 0.500 0.000
Rh: 0.000 0.500 0.500
Rh: 0.068 0.786 0.500
Rh: 0.214 0.068 0.500
Rh: 0.286 0.568 0.500
Rh: 0.432 0.286 0.500
Rh: 0.500 0.000 0.500
Rh: 0.568 0.714 0.500
Rh: 0.714 0.432 0.500
Rh: 0.786 0.932 0.500
Rh: 0.932 0.214 0.500

***

4.
A relaxed structure of MnIn, computed with PBE.

## Properties
- Magnetic moment: 1.87 μB per atom
- Symmetry: Pm-3n, No. 223
- Energy relative to the elements: 1163 meV/atom

a b c (Å): 7.620 7.620 7.620
angles (deg): 90.00 90.00 90.00
Positions (direct):
Mn: 0.000 0.250 0.500
Mn: 0.000 0.750 0.500
Mn: 0.250 0.500 0.000
Mn: 0.500 0.000 0.250
Mn: 0.500 0.000 0.750
Mn: 0.750 0.500 0.000
In: 0.000 0.500 0.250
In: 0.000 0.500 0.750
In: 0.250 0.000 0.500
In: 0.500 0.250 0.000
In: 0.500 0.750 0.000
In: 0.750 0.000 0.500

***

5.
A relaxed structure of MoOs, computed with PBE.

## Properties
- Magnetic moment: 0.00 μB per atom
- Symmetry: P6_3/mmc, No. 194
- Energy relative to the elements: 965 meV/atom

a b c (Å): 3.875 3.875 5.451
angles (deg): 90.00 90.00 120.00
Positions (direct):
Mo: 0.000 0.000 0.000
Mo: 0.000 0.000 0.500
Os: 0.333 0.667 0.250
Os: 0.667 0.333 0.750

***

6.
A relaxed structure of LiGa2Ir, computed with PBE.

## Properties
- Magnetic moment: 0.00 μB per atom
- Symmetry: I-42d, No. 122
- Energy relative to the elements: 21 meV/atom
- Energy above the most stable polymorph in this dataset: 516 meV per atom

a b c (Å): 9.024 9.024 9.024
angles (deg): 154.86 154.86 35.85
Positions (direct):
Li: 0.000 0.000 0.000
Li: 0.750 0.250 0.500
Ga: 0.138 0.625 0.013
Ga: 0.375 0.388 0.513
Ga: 0.612 0.125 0.987
Ga: 0.875 0.862 0.487
Ir: 0.250 0.750 0.500
Ir: 0.500 0.500 0.000

***

7.
A relaxed structure of B2PPt11, computed with PBE.

## Properties
- Magnetic moment: 0.00 μB per atom
- Symmetry: Ibam, No. 72
- Energy relative to the elements: -25 meV/atom

a b c (Å): 8.515 8.515 8.515
angles (deg): 120.57 105.61 102.84
Positions (direct):
B: 0.181 0.137 0.318
B: 0.319 0.637 0.956
B: 0.681 0.363 0.044
B: 0.819 0.863 0.682
P: 0.250 0.750 0.500
P: 0.750 0.250 0.500
Pt: 0.000 0.000 0.000
Pt: 0.040 0.461 0.838
Pt: 0.087 0.862 0.689
Pt: 0.123 0.961 0.420
Pt: 0.173 0.398 0.311
Pt: 0.241 0.886 0.127
Pt: 0.259 0.386 0.645
Pt: 0.327 0.638 0.226
Pt: 0.377 0.798 0.838
Pt: 0.413 0.102 0.774
Pt: 0.460 0.298 0.420
Pt: 0.500 0.500 0.000
Pt: 0.540 0.702 0.580
Pt: 0.587 0.898 0.226
Pt: 0.623 0.202 0.162
Pt: 0.673 0.362 0.774
Pt: 0.741 0.614 0.355
Pt: 0.759 0.114 0.873
Pt: 0.827 0.602 0.689
Pt: 0.877 0.039 0.580
Pt: 0.913 0.138 0.311
Pt: 0.960 0.539 0.162

***

8.
A relaxed structure of ZnGa3Pt3, computed with PBE.

## Properties
- Magnetic moment: 0.00 μB per atom
- Symmetry: C2/m, No. 12
- Energy relative to the elements: -411 meV/atom
- Energy above the most stable polymorph in this dataset: 39 meV per atom

a b c (Å): 5.927 5.927 7.071
angles (deg): 91.71 91.71 109.02
Positions (direct):
Zn: 0.184 0.184 0.482
Zn: 0.816 0.816 0.518
Ga: 0.169 0.169 0.111
Ga: 0.278 0.722 0.500
Ga: 0.335 0.665 0.000
Ga: 0.665 0.335 0.000
Ga: 0.722 0.278 0.500
Ga: 0.831 0.831 0.889
Pt: 0.012 0.721 0.207
Pt: 0.279 0.988 0.793
Pt: 0.492 0.492 0.290
Pt: 0.508 0.508 0.710
Pt: 0.721 0.012 0.207
Pt: 0.988 0.279 0.793

***

9.
A relaxed structure of Ce2PaIr, computed with PBE.

## Properties
- Magnetic moment: 0.00 μB per atom
- Symmetry: R-3m, No. 166
- Energy relative to the elements: 0 meV/atom
- Energy above the most stable polymorph in this dataset: 302 meV per atom

a b c (Å): 10.865 10.865 10.865
angles (deg): 16.24 16.24 16.24
Positions (direct):
Ce: 0.093 0.093 0.093
Ce: 0.907 0.907 0.907
Pa: 0.000 0.000 0.000
Ir: 0.500 0.500 0.500

***

10.
A relaxed structure of LaTbGdTh, computed with PBE.

## Properties
- Magnetic moment: 1.84 μB per atom
- Symmetry: F-43m, No. 216
- Energy relative to the elements: 136 meV/atom

a b c (Å): 5.742 5.742 5.742
angles (deg): 60.00 60.00 60.00
Positions (direct):
La: 0.000 0.000 0.000
Tb: 0.250 0.250 0.250
Gd: 0.750 0.750 0.750
Th: 0.500 0.500 0.500

***

11.
A relaxed structure of Ba2PrAs2Br2, computed with PBE.

## Properties
- Formation energy from raw total energies: -1.44 eV/atom
- Magnetic moment: 0.00 μB per atom
- Symmetry: I4/mmm, No. 139

a b c (Å): 9.288 9.288 9.288
angles (deg): 144.38 144.38 51.26
Positions (direct):
Ba: 0.121 0.121 0.000
Ba: 0.879 0.879 0.000
Pr: 0.500 0.500 0.000
As: 0.000 0.500 0.500
As: 0.500 0.000 0.500
Br: 0.315 0.315 0.000
Br: 0.685 0.685 0.000

***

12.
A relaxed structure of Cd2CoAg, computed with PBE.

## Properties
- Magnetic moment: 0.42 μB per atom
- Symmetry: P4mm, No. 99
- Energy relative to the elements: 242 meV/atom

a b c (Å): 2.969 2.969 8.087
angles (deg): 90.00 90.00 90.00
Positions (direct):
Cd: 0.000 0.000 0.000
Cd: 0.500 0.500 0.300
Co: 0.000 0.000 0.523
Ag: 0.500 0.500 0.736

***

13.
A relaxed structure of NaTbSn6, computed with PBE.

## Properties
- Magnetic moment: 0.00 μB per atom
- Symmetry: P4/mmm, No. 123
- Energy relative to the elements: -278 meV/atom

a b c (Å): 4.686 4.686 9.596
angles (deg): 90.00 90.00 90.00
Positions (direct):
Na: 0.000 0.000 0.000
Tb: 0.000 0.000 0.500
Sn: 0.000 0.500 0.248
Sn: 0.000 0.500 0.752
Sn: 0.500 0.000 0.248
Sn: 0.500 0.000 0.752
Sn: 0.500 0.500 0.000
Sn: 0.500 0.500 0.500

***

14.
A relaxed structure of AcNd2Ru, computed with PBE.

## Properties
- Magnetic moment: 0.00 μB per atom
- Symmetry: Cmcm, No. 63
- Energy relative to the elements: -161 meV/atom
- Energy above the most stable polymorph in this dataset: 16 meV per atom

a b c (Å): 6.639 6.639 9.826
angles (deg): 90.00 90.00 144.56
Positions (direct):
Ac: 0.081 0.919 0.750
Ac: 0.919 0.081 0.250
Nd: 0.353 0.647 0.572
Nd: 0.353 0.647 0.928
Nd: 0.647 0.353 0.072
Nd: 0.647 0.353 0.428
Ru: 0.246 0.754 0.250
Ru: 0.754 0.246 0.750

***

15.
A relaxed structure of Ga2Au3, computed with PBE.

## Properties
- Magnetic moment: 0.00 μB per atom
- Symmetry: Pnma, No. 62
- Energy relative to the elements: -174 meV/atom

a b c (Å): 8.678 3.792 11.446
angles (deg): 90.00 90.00 90.00
Positions (direct):
Ga: 0.192 0.250 0.224
Ga: 0.199 0.250 0.916
Ga: 0.301 0.750 0.416
Ga: 0.308 0.750 0.724
Ga: 0.692 0.250 0.276
Ga: 0.699 0.250 0.584
Ga: 0.801 0.750 0.084
Ga: 0.808 0.750 0.776
Au: 0.084 0.250 0.701
Au: 0.097 0.250 0.441
Au: 0.101 0.750 0.076
Au: 0.399 0.250 0.576
Au: 0.403 0.750 0.941
Au: 0.416 0.750 0.201
Au: 0.584 0.250 0.799
Au: 0.597 0.250 0.059
Au: 0.601 0.750 0.424
Au: 0.899 0.250 0.924
Au: 0.903 0.750 0.559
Au: 0.916 0.750 0.299

***

16.
A relaxed structure of KTlNiSn2, computed with PBE.

## Properties
- Magnetic moment: 0.00 μB per atom
- Symmetry: P4/mmm, No. 123
- Energy relative to the elements: 3 meV/atom

a b c (Å): 5.098 5.098 5.399
angles (deg): 90.00 90.00 90.00
Positions (direct):
K: 0.000 0.000 0.000
Tl: 0.500 0.500 0.000
Ni: 0.500 0.500 0.500
Sn: 0.000 0.500 0.500
Sn: 0.500 0.000 0.500

***

17.
A relaxed structure of LiLaPaSe3, computed with PBE.

## Properties
- Formation energy from raw total energies: -1.48 eV/atom
- Magnetic moment: 0.22 μB per atom
- Symmetry: P2_1/m, No. 11

a b c (Å): 8.653 4.003 8.942
angles (deg): 90.00 105.60 90.00
Positions (direct):
Li: 0.087 0.250 0.089
Li: 0.913 0.750 0.911
La: 0.188 0.250 0.728
La: 0.812 0.750 0.272
Pa: 0.351 0.750 0.359
Pa: 0.649 0.250 0.641
Se: 0.101 0.250 0.370
Se: 0.219 0.750 0.012
Se: 0.435 0.750 0.701
Se: 0.565 0.250 0.299
Se: 0.781 0.250 0.988
Se: 0.899 0.750 0.630

***

18.
A relaxed structure of CeCuGe2, computed with PBE.

## Properties
- Magnetic moment: 0.00 μB per atom
- Symmetry: I4/mmm, No. 139
- Energy relative to the elements: -473 meV/atom

a b c (Å): 9.791 9.791 9.791
angles (deg): 155.75 155.75 34.57
Positions (direct):
Ce: 0.120 0.120 0.000
Ce: 0.880 0.880 0.000
Cu: 0.250 0.750 0.500
Cu: 0.750 0.250 0.500
Ge: 0.000 0.500 0.500
Ge: 0.326 0.326 0.000
Ge: 0.500 0.000 0.500
Ge: 0.674 0.674 0.000

***

19.
A relaxed structure of Rb3CdP, computed with PBE.

## Properties
- Magnetic moment: 0.00 μB per atom
- Symmetry: Pm-3m, No. 221
- Energy relative to the elements: 30 meV/atom
- Energy above the most stable polymorph in this dataset: 0 meV per atom

a b c (Å): 6.654 6.654 6.654
angles (deg): 90.00 90.00 90.00
Positions (direct):
Rb: 0.000 0.000 0.500
Rb: 0.000 0.500 0.000
Rb: 0.500 0.000 0.000
Cd: 0.500 0.500 0.500
P: 0.000 0.000 0.000

***

20.
A relaxed structure of Pm12Y3Er, computed with PBE.

## Properties
- Magnetic moment: 0.00 μB per atom
- Symmetry: P4/mmm, No. 123
- Energy relative to the elements: 14 meV/atom

a b c (Å): 5.132 5.132 20.477
angles (deg): 90.00 90.00 90.00
Positions (direct):
Pm: 0.000 0.000 0.000
Pm: 0.000 0.000 0.249
Pm: 0.000 0.000 0.500
Pm: 0.000 0.000 0.751
Pm: 0.000 0.500 0.124
Pm: 0.000 0.500 0.375
Pm: 0.000 0.500 0.625
Pm: 0.000 0.500 0.876
Pm: 0.500 0.000 0.124
Pm: 0.500 0.000 0.375
Pm: 0.500 0.000 0.625
Pm: 0.500 0.000 0.876
Y: 0.500 0.500 0.249
Y: 0.500 0.500 0.500
Y: 0.500 0.500 0.751
Er: 0.500 0.500 0.000